Entry i
{"formula": "ScCrSe2", "functional": "PBE", "state": "optimized geometry", "lattice": [[-6.1795, 0.6142, -2.0432], [-3.1244, -2.2381, -5.2883], [3.9978, -1.3873, 4.9830]], "species": ["Cr", "Sc", "Se", "Se"], "fractional_positions": [[0.5000, 0.5000, 0.0000], [0.7500, 0.2500, 0.5000], [0.0000, 0.0000, 0.0000], [0.2500, 0.7500, 0.5000]]}


Entry ii
{"formula": "ScCrSe2", "functional": "PBE", "state": "optimized geometry", "lattice": [[-2.9929, -2.6695, -2.6526], [1.7533, -3.3902, -2.9245], [-0.6458, -4.6481, 1.0483]], "species": ["Cr", "Sc", "Se", "Se"], "fractional_positions": [[0.5000, 0.5000, 0.5000], [0.7500, 0.7500, 0.7500], [0.0000, 0.0000, 0.0000], [0.2500, 0.2500, 0.2500]]}


Entry iii
{"formula": "ScCrSe2", "functional": "PBE", "state": "optimized geometry", "lattice": [[-3.6431, 3.6930, 2.8297], [-2.6934, -4.6046, 2.5418], [0.7820, -0.1671, 7.3947]], "species": ["Sc", "Sc", "Cr", "Cr", "Se", "Se", "Se", "Se"], "fractional_positions": [[0.5000, 0.5000, 0.0000], [0.2500, 0.7500, 0.5000], [0.0000, 0.0000, 0.0000], [0.7500, 0.2500, 0.5000], [0.6292, 0.1250, 0.2500], [0.1208, 0.6250, 0.2500], [0.3750, 0.3708, 0.7500], [0.8750, 0.8792, 0.7500]]}


Entry iv
{"formula": "ScCrSe2", "functional": "PBE", "state": "optimized geometry", "lattice": [[2.1208, 0.0000, 8.0640], [-1.0604, 1.8366, 8.0640], [-1.0604, -1.8366, 8.0640]], "species": ["Sc", "Cr", "Se", "Se"], "fractional_positions": [[0.0000, 0.0000, 0.0000], [0.5000, 0.5000, 0.5000], [0.8910, 0.8910, 0.8910], [0.1090, 0.1090, 0.1090]]}


Stability, highest: entry iii


Entry i
{"formula": "ScCrSe2", "functional": "PBE", "state": "optimized geometry", "lattice": [[-2.5912, 0.4324, 7.0672], [-5.7329, -0.9306, 4.8078], [-2.8100, -3.5334, 6.0387]], "species": ["Cr", "Sc", "Se", "Se"], "fractional_positions": [[0.5179, 0.5179, 0.5179], [0.7523, 0.7523, 0.7523], [0.0288, 0.0288, 0.0288], [0.2010, 0.2010, 0.2010]]}


Entry ii
{"formula": "ScCrSe2", "functional": "PBE", "state": "optimized geometry", "lattice": [[-3.9003, -1.8493, 3.3107], [0.9469, -3.6124, -0.9023], [2.5040, -0.0706, 2.9106]], "species": ["Cr", "Sc", "Se", "Se"], "fractional_positions": [[0.0000, 0.3752, 0.3746], [0.5000, 0.8748, 0.8755], [0.0000, 0.8751, 0.8747], [0.5000, 0.3749, 0.3753]]}


Entry iii
{"formula": "ScCrSe2", "functional": "PBE", "state": "optimized geometry", "lattice": [[-3.0981, -0.8540, -1.2067], [-0.1223, -2.7290, 2.2453], [-2.9272, 2.7015, 5.6036]], "species": ["Cr", "Sc", "Se", "Se"], "fractional_positions": [[0.5000, 0.2500, 0.2500], [0.5000, 0.7500, 0.7500], [0.0000, 0.1799, 0.9853], [0.0000, 0.3201, 0.5147]]}


Stability, highest: entry ii


Entry i
{"formula": "ScCrSe2", "functional": "PBE", "state": "optimized geometry", "lattice": [[-2.0104, -5.7779, 5.5440], [1.8725, -5.3245, 6.0253], [-0.6309, -2.8112, 7.7370]], "species": ["Sc", "Cr", "Se", "Se"], "fractional_positions": [[0.5000, 0.5000, 0.5000], [0.0000, 0.0000, 0.0000], [0.8959, 0.8959, 0.8959], [0.1041, 0.1041, 0.1041]]}


Entry ii
{"formula": "ScCrSe2", "functional": "PBE", "state": "optimized geometry", "lattice": [[-5.1614, -1.7114, 3.6016], [-2.4815, -3.8453, 4.6472], [0.9643, 2.4604, 2.5496]], "species": ["Cr", "Sc", "Se", "Se"], "fractional_positions": [[0.5119, 0.5119, 0.6252], [0.2996, 0.2996, 0.1248], [0.9699, 0.9699, 0.1252], [0.7186, 0.7186, 0.6247]]}


Entry iii
{"formula": "ScCrSe2", "functional": "PBE", "state": "optimized geometry", "lattice": [[-3.7070, -0.4522, 1.1270], [-0.9141, -2.6875, 2.6756], [-0.6831, 3.1284, 5.7478]], "species": ["Cr", "Sc", "Se", "Se"], "fractional_positions": [[0.7500, 0.7500, 0.7500], [0.2500, 0.2500, 0.2500], [0.0015, 0.0015, 0.9952], [0.4985, 0.4985, 0.5048]]}


Entry iv
{"formula": "ScCrSe2", "functional": "PBE", "state": "optimized geometry", "lattice": [[4.6831, -0.0011, -0.0004], [0.0011, 4.6831, -0.0004], [0.0007, 0.0007, 3.3756]], "species": ["Cr", "Sc", "Se", "Se"], "fractional_positions": [[0.5000, 0.0000, 0.5000], [0.0000, 0.5000, 0.5000], [0.0000, 0.0000, 0.0000], [0.5000, 0.5000, 0.0000]]}


Stability, highest: entry ii